No. 1
SrNb2Rh2 (PBE, optimized geometry); calculated total energy = -7.279 eV per atom; calculated volume = 109.4 Å³/cell; crystal system = tetragonal; polymorph energy (0 for the lowest one) = 255 meV per atom
1.0
4.7067 0.0000 0.0000
0.0000 4.7067 0.0000
2.3534 2.3534 4.9378
Nb Rh Sr
2 2 1
Cartesian
4.7067 4.7067 3.5661 Nb
2.3534 2.3534 1.3717 Nb
2.3534 4.7067 2.4689 Rh
4.7067 2.3534 2.4689 Rh
0.0000 0.0000 0.0000 Sr

No. 2
SrNb3Rh (PBE, optimized geometry); calculated total energy = -5.206 eV per atom; calculated volume = 108.5 Å³/cell; crystal system = cubic; polymorph energy (0 for the lowest one) = 1784 meV per atom
1.0
-0.7793 2.5633 -3.9454
0.5242 -3.9270 -2.6549
-4.6757 -0.8675 0.3599
Nb Sr Rh
3 1 1
Cartesian
0.2621 -1.9635 -1.3274 Nb
-0.3896 1.2817 -1.9727 Nb
-2.3379 -0.4337 0.1799 Nb
0.0000 0.0000 0.0000 Sr
-2.4654 -1.1156 -3.1202 Rh

No. 3
SrNb2Rh2 (PBE, optimized geometry); calculated total energy = -7.405 eV per atom; calculated volume = 191.6 Å³/cell; crystal system = tetragonal; polymorph energy (0 for the lowest one) = 129 meV per atom
1.0
8.1550 0.0000 0.0000
0.0000 8.1550 0.0000
0.0000 0.0000 2.8809
Sr Rh Nb
2 4 4
Cartesian
4.0775 4.0775 0.0000 Sr
0.0000 0.0000 0.0000 Sr
2.6614 1.4161 1.4404 Rh
6.7389 2.6614 1.4404 Rh
5.4936 6.7389 1.4404 Rh
1.4161 5.4936 1.4404 Rh
0.9596 3.1179 0.0000 Nb
7.1954 5.0371 0.0000 Nb
3.1179 7.1954 0.0000 Nb
5.0371 0.9596 0.0000 Nb

No. 4
SrNb2Rh2 (PBE, optimized geometry); calculated total energy = -7.534 eV per atom; calculated volume = 108.7 Å³/cell; crystal system = tetragonal; polymorph energy (0 for the lowest one) = 0 meV per atom
1.0
-0.9787 4.1385 -1.4793
-2.3745 0.7774 3.7458
2.7263 4.3559 3.5304
Rh Nb Sr
2 2 1
Cartesian
-0.5277 2.9532 1.7588 Rh
-0.0992 6.3186 4.0382 Rh
0.0355 5.4762 1.5922 Nb
-0.6624 3.7956 4.2047 Nb
0.0000 0.0000 0.0000 Sr

No. 5
Sr2NbRh2 (PBE, optimized geometry); calculated total energy = -5.659 eV per atom; calculated volume = 237.5 Å³/cell; crystal system = tetragonal
1.0
-4.6906 2.7375 -4.0997
-1.6851 -6.2085 -2.2176
-3.4919 -0.3869 3.7368
Sr Rh Nb
4 4 2
Cartesian
-6.1448 0.0573 -2.2162 Sr
-3.7228 -3.9152 -0.3643 Sr
-6.3111 -3.4417 -2.7339 Sr
-3.5566 -0.4163 0.1534 Sr
-1.2508 -1.8890 -1.3645 Rh
-3.1643 -4.3683 -3.4093 Rh
-3.2114 0.8972 -2.9080 Rh
-5.1249 -1.5820 -4.9528 Rh
0.0000 0.0000 0.0000 Nb
-3.1878 -1.7355 -3.1586 Nb

No. 6
SrNbRh2 (PBE, optimized geometry); calculated total energy = -6.529 eV per atom; calculated volume = 75.9 Å³/cell; crystal system = cubic; polymorph energy (0 for the lowest one) = 370 meV per atom
1.0
2.0761 2.9785 3.0655
-1.9199 4.2649 0.8391
-2.0461 0.9011 4.1929
Rh Nb Sr
2 1 1
Cartesian
-1.4174 6.1084 6.0732 Rh
-0.4725 2.0361 2.0244 Rh
-0.9449 4.0722 4.0488 Nb
0.0000 0.0000 0.0000 Sr

No. 7
SrNbRh2 (PBE, optimized geometry); calculated total energy = -6.899 eV per atom; calculated volume = 80.1 Å³/cell; crystal system = tetragonal; polymorph energy (0 for the lowest one) = 0 meV per atom
1.0
-2.5203 -1.2476 1.6305
2.0405 -1.2366 2.2078
-0.5297 6.3804 4.0631
Sr Nb Rh
1 1 2
Cartesian
-0.5048 1.9481 3.9507 Sr
-0.2399 -1.2421 1.9192 Nb
-0.4294 5.1722 3.2937 Rh
-0.1003 1.2081 0.7694 Rh

No. 8
SrNbRh (PBE, optimized geometry); calculated total energy = -6.581 eV per atom; calculated volume = 154.9 Å³/cell; crystal system = tetragonal
1.0
4.5841 0.0000 0.0000
0.0000 4.5841 0.0000
0.0000 0.0000 7.3731
Rh Nb Sr
2 2 2
Cartesian
2.2920 0.0000 4.8807 Rh
0.0000 2.2920 2.4924 Rh
0.0000 0.0000 3.6865 Nb
2.2920 2.2920 3.6865 Nb
2.2920 0.0000 1.0869 Sr
0.0000 2.2920 6.2862 Sr

No. 9
SrNbRh2 (PBE, optimized geometry); calculated total energy = -6.478 eV per atom; calculated volume = 176.7 Å³/cell; crystal system = tetragonal; polymorph energy (0 for the lowest one) = 422 meV per atom
1.0
7.4268 0.0000 0.0000
0.0000 7.4268 0.0000
3.7134 3.7134 3.2036
Sr Nb Rh
2 2 4
Cartesian
3.7134 3.7134 0.0000 Sr
3.7134 7.4268 1.6018 Sr
7.4268 3.7134 1.6018 Nb
0.0000 0.0000 0.0000 Nb
9.2835 9.6981 2.4027 Rh
5.5701 5.1555 2.4027 Rh
1.4421 5.5701 0.8009 Rh
5.9847 1.8567 0.8009 Rh

No. 10
Ta3Nb2Rh2 (PBE, optimized geometry); calculated total energy = -10.112 eV per atom; calculated volume = 120.6 Å³/cell; crystal system = orthorhombic
1.0
4.0315 0.0000 0.5350
0.0000 2.8362 0.0000
0.6403 0.0000 10.6313
Ta Rh Nb
3 2 2
Cartesian
3.6532 0.0000 3.3855 Ta
0.0000 0.0000 0.0000 Ta
1.0186 0.0000 7.7809 Ta
1.8267 1.4181 1.6919 Rh
2.8451 1.4181 9.4745 Rh
1.4374 1.4181 4.6251 Nb
3.2344 1.4181 6.5412 Nb

Number 1: energy relative to the elements 0.0260 eV/atom, mass density 7.27 g/cm³, Fermi-level density of states 3.320 states/eV/f.u.. Number 2: energy relative to the elements 2.6424 eV/atom, mass density 7.18 g/cm³, Fermi-level density of states 11.242 states/eV/f.u.. Number 3: energy relative to the elements -0.1005 eV/atom, mass density 8.31 g/cm³, Fermi-level density of states 4.505 states/eV/f.u.. Number 4: energy relative to the elements -0.2292 eV/atom, mass density 7.32 g/cm³, Fermi-level density of states 2.924 states/eV/f.u.. Number 5: energy relative to the elements -0.0321 eV/atom, mass density 6.63 g/cm³, Fermi-level density of states 5.231 states/eV/f.u.. Number 6: energy relative to the elements 0.0841 eV/atom, mass density 8.46 g/cm³, Fermi-level density of states 4.511 states/eV/f.u.. Number 7: energy relative to the elements -0.2857 eV/atom, mass density 8.01 g/cm³, Fermi-level density of states 3.877 states/eV/f.u.. Number 8: energy relative to the elements -0.2136 eV/atom, mass density 6.08 g/cm³, Fermi-level density of states 2.311 states/eV/f.u.. Number 9: energy relative to the elements 0.1358 eV/atom, mass density 7.26 g/cm³, Fermi-level density of states 2.828 states/eV/f.u.. Number 10: energy relative to the elements -0.0552 eV/atom, mass density 12.87 g/cm³, Fermi-level density of states 7.891 states/eV/f.u..